Entry 1:
A plane-wave DFT calculation with GGA-PBE was carried out for an optimized crystal structure of NiIrRh2.

a b c (Å): 4.640 4.640 4.588
angles (deg): 100.01 100.01 33.94
Element x y z (fractional)
Ni: 0.000 0.000 0.000
Ir: 0.500 0.500 0.500
Rh: 0.251 0.251 0.752
Rh: 0.749 0.749 0.248

Summary:
Symmetry = C2/m (12)
Density of states at the Fermi level = 1.321 states/eV/atom
E_form = 0.07 eV/f.u.



Entry 2:
A plane-wave DFT calculation with GGA-PBE was carried out for an optimized crystal structure of NiIr3Rh4.

a b c (Å): 6.673 6.673 6.673
angles (deg): 156.78 97.25 87.41
Element x y z (fractional)
Ni: 0.000 0.000 0.000
Ir: 0.225 0.725 0.500
Ir: 0.500 0.500 0.000
Ir: 0.775 0.275 0.500
Rh: 0.119 0.869 0.250
Rh: 0.381 0.131 0.250
Rh: 0.619 0.869 0.750
Rh: 0.881 0.131 0.750

Summary:
Symmetry = Immm (71)
Density of states at the Fermi level = 1.243 states/eV/atom
E_form = 1.35 eV/f.u.



Entry 3:
A plane-wave DFT calculation with GGA-PBE was carried out for an optimized crystal structure of Ni2IrRh.

a b c (Å): 5.088 5.088 2.619
angles (deg): 104.34 104.34 117.91
Element x y z (fractional)
Ni: 0.000 0.500 0.000
Ni: 0.500 0.000 0.000
Ir: 0.000 0.000 0.500
Rh: 0.500 0.500 0.500

Summary:
Symmetry = C2/m (12)
Density of states at the Fermi level = 1.852 states/eV/atom
E_form = 0.84 eV/f.u.



Entry 4:
A plane-wave DFT calculation with GGA-PBE was carried out for an optimized crystal structure of Ni2Ir2Rh.

a b c (Å): 7.095 7.095 2.726
angles (deg): 90.00 90.00 90.00
Element x y z (fractional)
Ni: 0.167 0.333 0.000
Ni: 0.333 0.833 0.000
Ni: 0.667 0.167 0.000
Ni: 0.833 0.667 0.000
Ir: 0.130 0.630 0.500
Ir: 0.370 0.130 0.500
Ir: 0.630 0.870 0.500
Ir: 0.870 0.370 0.500
Rh: 0.000 0.000 0.500
Rh: 0.500 0.500 0.500

Summary:
Symmetry = P4/mbm (127)
Density of states at the Fermi level = 1.540 states/eV/atom
E_form = 1.42 eV/f.u.



Entry 5:
A plane-wave DFT calculation with GGA-PBE was carried out for an optimized crystal structure of Ni2IrRh6.

a b c (Å): 2.692 6.517 7.343
angles (deg): 98.90 100.55 90.05
Element x y z (fractional)
Ni: 0.224 0.160 0.443
Ni: 0.776 0.840 0.557
Ir: 0.500 0.500 0.000
Rh: 0.053 0.187 0.104
Rh: 0.170 0.545 0.343
Rh: 0.387 0.127 0.778
Rh: 0.613 0.873 0.222
Rh: 0.830 0.455 0.657
Rh: 0.947 0.813 0.896

Summary:
Symmetry = P-1 (2)
Density of states at the Fermi level = 1.773 states/eV/atom
E_form = 1.12 eV/f.u.



Entry 6:
A plane-wave DFT calculation with GGA-PBE was carried out for an optimized crystal structure of Ni2IrRh.

a b c (Å): 4.574 4.574 4.574
angles (deg): 132.74 132.74 69.06
Element x y z (fractional)
Ni: 0.000 0.000 0.000
Ni: 0.750 0.250 0.500
Ir: 0.500 0.500 0.000
Rh: 0.250 0.750 0.500

Summary:
Symmetry = I-4m2 (119)
Density of states at the Fermi level = 1.334 states/eV/atom
E_form = -0.02 eV/f.u.



Entry 7:
A plane-wave DFT calculation with GGA-PBE was carried out for an optimized crystal structure of Ni2IrRh.

a b c (Å): 4.465 4.465 4.618
angles (deg): 99.94 99.94 34.71
Element x y z (fractional)
Ni: 0.249 0.249 0.245
Ni: 0.751 0.751 0.755
Ir: 0.500 0.500 0.000
Rh: 0.000 0.000 0.500

Summary:
Symmetry = C2/m (12)
Density of states at the Fermi level = 1.887 states/eV/atom
E_form = 0.17 eV/f.u.



Entry 8:
A plane-wave DFT calculation with GGA-PBE was carried out for an optimized crystal structure of Ni2IrRh.

a b c (Å): 4.560 4.560 4.429
angles (deg): 100.51 100.51 34.28
Element x y z (fractional)
Ni: 0.000 0.000 0.000
Ni: 0.748 0.748 0.237
Ir: 0.496 0.496 0.491
Rh: 0.247 0.247 0.740

Summary:
Symmetry = Cm (8)
Density of states at the Fermi level = 1.472 states/eV/atom
E_form = 0.08 eV/f.u.